# CrOsN2F

CrOsN2F after structural relaxation (PBE+U, the Alexandria database).

* relative energy among the computed polymorphs: 0.000 kcal/mol of atoms

Cell lengths 3.830, 3.830, 4.356 Å; angles 90.00, 90.00, 90.00 degrees
Space group P4/mmm (No. 123)
One atom of each set of equivalent atoms:
Cr 0.000 0.000 0.000 (multiplicity 1)
Os 0.500 0.500 0.500 (multiplicity 1)
N 0.000 0.500 0.500 (multiplicity 2)
F 0.500 0.500 0.000 (multiplicity 1)